Record 1
A plane-wave DFT calculation with PBE-GGA was carried out for a geometry-optimized SrTi2ZnPt structure.

```
SrTi2ZnPt
1.0
4.685 0.000 0.000
0.000 4.685 0.000
0.000 0.000 5.563
Sr Ti Zn Pt
1 2 1 1
direct
0.000 0.000 0.000 Sr
0.000 0.500 0.500 Ti
0.500 0.000 0.500 Ti
0.000 0.000 0.500 Zn
0.500 0.500 0.000 Pt
```

Summary:
Total magnetization in μB per cell: 0.00
Crystal system: tetragonal
SG: No. 123
Volume in Å³ per atom: 24.41
DFT formation energy in eV/f.u.: 3.46



Record 2
A plane-wave DFT calculation with PBE-GGA was carried out for a geometry-optimized Pr2Ga13 structure.

```
Pr2Ga13
1.0
3.650 2.107 7.374
-3.650 2.107 7.374
0.000 -4.214 7.374
Pr Ga
2 13
direct
0.232 0.232 0.232 Pr
0.768 0.768 0.768 Pr
0.000 0.000 0.000 Ga
0.149 0.497 0.497 Ga
0.158 0.742 0.742 Ga
0.258 0.258 0.842 Ga
0.258 0.842 0.258 Ga
0.497 0.149 0.497 Ga
0.497 0.497 0.149 Ga
0.503 0.503 0.851 Ga
0.503 0.851 0.503 Ga
0.742 0.158 0.742 Ga
0.742 0.742 0.158 Ga
0.842 0.258 0.258 Ga
0.851 0.503 0.503 Ga
```

Summary:
Total magnetization in μB per cell: 0.00
Crystal system: trigonal
SG: No. 166
Volume in Å³ per atom: 22.68
DFT formation energy in eV/f.u.: -2.18



| no. | electronic total energy (eV for the cell shown) |
| --- | --- |
| 1 | -21.327 |
| 2 | -51.091 |